(1)
InAg3Te4Mo: relaxed, PBE.

a = 6.6670 Å, b = 6.6670 Å, c = 6.6670 Å
α = 90.00°, β = 90.00°, γ = 90.00°
Element x y z (fractional)
In  0.0000  0.0000  0.0000
Ag  0.0000  0.5000  0.5000
Ag  0.5000  0.0000  0.5000
Ag  0.5000  0.5000  0.0000
Te  0.2691  0.2691  0.2691
Te  0.2691  0.7309  0.7309
Te  0.7309  0.2691  0.7309
Te  0.7309  0.7309  0.2691
Mo  0.5000  0.5000  0.5000

## Properties
* energy: -34.38 eV for the cell shown
* size of the total moment: 2.001 μB per cell

(2)
NaIn6Ag6: relaxed, PBE.

a = 7.5730 Å, b = 7.5730 Å, c = 7.5730 Å
α = 134.78°, β = 99.60°, γ = 97.40°
Element x y z (fractional)
Na  0.0000  0.0000  0.0000
In  0.1825  0.6825  0.5000
In  0.3433  0.3433  0.0000
In  0.3476  0.0000  0.3476
In  0.6524  0.0000  0.6524
In  0.6567  0.6567  0.0000
In  0.8175  0.3175  0.5000
Ag  0.0000  0.0000  0.5000
Ag  0.0000  0.5000  0.0000
Ag  0.2356  0.5000  0.7356
Ag  0.5000  0.0000  0.0000
Ag  0.5000  0.5000  0.5000
Ag  0.7644  0.5000  0.2644

## Properties
* energy: -35.76 eV for the cell shown

(3)
Na2Sc2In2AgPd: relaxed, PBE.

a = 4.8131 Å, b = 4.8131 Å, c = 6.8568 Å
α = 90.00°, β = 90.00°, γ = 90.00°
Element x y z (fractional)
Na  0.0000  0.0000  0.0000
Na  0.5000  0.5000  0.5000
Sc  0.0000  0.5000  0.7384
Sc  0.5000  0.0000  0.2616
In  0.0000  0.5000  0.2534
In  0.5000  0.0000  0.7466
Ag  0.5000  0.5000  0.0000
Pd  0.0000  0.0000  0.5000

## Properties
* energy: -30.78 eV for the cell shown
* size of the total moment: 0.007 μB per cell

(4)
Na2In4AgPt: relaxed, PBE.

a = 8.1001 Å, b = 5.6665 Å, c = 5.6665 Å
α = 46.10°, β = 90.00°, γ = 90.00°
Element x y z (fractional)
Na  0.0000  0.0000  0.0000
Na  0.5000  0.1376  0.1376
In  0.1916  0.7106  0.7106
In  0.2932  0.4271  0.4271
In  0.7068  0.4271  0.4271
In  0.8084  0.7106  0.7106
Ag  0.5000  0.8509  0.8509
Pt  0.0000  0.2845  0.2845

## Properties
* energy: -24.56 eV for the cell shown
* size of the total moment: 0.010 μB per cell

(5)
Na2YScIn2Ag2: relaxed, PBE.

a = 4.9403 Å, b = 4.9403 Å, c = 7.0058 Å
α = 90.00°, β = 90.00°, γ = 90.00°
Element x y z (fractional)
Na  0.0000  0.5000  0.2391
Na  0.5000  0.0000  0.7609
Y  0.0000  0.0000  0.5000
Sc  0.5000  0.5000  0.0000
In  0.0000  0.0000  0.0000
In  0.5000  0.5000  0.5000
Ag  0.0000  0.5000  0.7611
Ag  0.5000  0.0000  0.2389

## Properties
* energy: -27.84 eV for the cell shown
* size of the total moment: 0.002 μB per cell

(6)
Na4InAg2Sn: relaxed, PBE.

a = 5.0035 Å, b = 5.0035 Å, c = 7.0606 Å
α = 90.00°, β = 90.00°, γ = 90.00°
Element x y z (fractional)
Na  0.0000  0.0000  0.0000
Na  0.0000  0.5000  0.2501
Na  0.5000  0.0000  0.7499
Na  0.5000  0.5000  0.5000
In  0.0000  0.0000  0.5000
Ag  0.0000  0.5000  0.7511
Ag  0.5000  0.0000  0.2489
Sn  0.5000  0.5000  0.0000

## Properties
* energy: -18.52 eV for the cell shown

(7)
NaSrIn4Ag2: relaxed, PBE.

a = 7.8923 Å, b = 5.9685 Å, c = 5.9685 Å
α = 46.59°, β = 90.00°, γ = 90.00°
Element x y z (fractional)
Na  0.0000  0.0000  0.0000
Sr  0.5000  0.8597  0.8597
In  0.1913  0.2892  0.2892
In  0.2966  0.5675  0.5675
In  0.7034  0.5675  0.5675
In  0.8087  0.2892  0.2892
Ag  0.0000  0.7173  0.7173
Ag  0.5000  0.1476  0.1476

## Properties
* energy: -21.60 eV for the cell shown

(8)
NaIn2AgTe4: relaxed, PBE.

a = 8.0468 Å, b = 8.0468 Å, c = 8.0468 Å
α = 130.41°, β = 130.41°, γ = 72.75°
Element x y z (fractional)
Na  0.0000  0.0000  0.0000
In  0.5000  0.5000  0.0000
In  0.7500  0.2500  0.5000
Ag  0.2500  0.7500  0.5000
Te  0.1317  0.6085  0.0019
Te  0.3915  0.3934  0.5232
Te  0.6066  0.1298  0.9981
Te  0.8702  0.8683  0.4768

## Properties
* energy: -25.62 eV for the cell shown

(9)
NbInAg: relaxed, PBE.

a = 4.6057 Å, b = 4.6057 Å, c = 4.6057 Å
α = 60.00°, β = 60.00°, γ = 60.00°
Element x y z (fractional)
Nb  0.0000  0.0000  0.0000
In  0.7500  0.7500  0.7500
Ag  0.2500  0.2500  0.2500

## Properties
* energy: -13.41 eV for the cell shown
* size of the total moment: 0.017 μB per cell

(10)
NbInAg2: relaxed, PBE.

a = 4.7294 Å, b = 4.7294 Å, c = 4.7294 Å
α = 60.00°, β = 60.00°, γ = 60.00°
Element x y z (fractional)
Nb  0.0000  0.0000  0.0000
In  0.7500  0.7500  0.7500
Ag  0.2500  0.2500  0.2500
Ag  0.5000  0.5000  0.5000

## Properties
* energy: -17.31 eV for the cell shown
* size of the total moment: 0.095 μB per cell

(11)
NbInAg: relaxed, PBE.

a = 4.5618 Å, b = 4.5618 Å, c = 4.5618 Å
α = 60.00°, β = 60.00°, γ = 60.00°
Element x y z (fractional)
Nb  0.0000  0.0000  0.0000
In  0.7500  0.7500  0.7500
Ag  0.5000  0.5000  0.5000

## Properties
* energy: -13.50 eV for the cell shown
* size of the total moment: 0.863 μB per cell

(12)
NbInNiAg: relaxed, PBE.

a = 4.5673 Å, b = 4.5673 Å, c = 4.5673 Å
α = 60.00°, β = 60.00°, γ = 60.00°
Element x y z (fractional)
Nb  0.0000  0.0000  0.0000
In  0.2500  0.2500  0.2500
Ni  0.5000  0.5000  0.5000
Ag  0.7500  0.7500  0.7500

## Properties
* energy: -20.10 eV for the cell shown
* size of the total moment: 0.034 μB per cell